Below is a geometry-optimized SrReTcAs2 structure, with properties calculated at the GGA-PBEsol level.

```
data_SrReTcAs2
_chemical_formula_sum 'Sr1 Re1 Tc1 As2'
_symmetry_space_group_name_H-M 'P 4/m m m'
_symmetry_Int_Tables_number 123
_symmetry_space_group_name_Hall '-P 4 2'
_cell_length_a 4.717
_cell_length_b 4.717
_cell_length_c 5.776
_cell_angle_alpha 90.00
_cell_angle_beta 90.00
_cell_angle_gamma 90.00
loop_
_atom_site_label
_atom_site_type_symbol
_atom_site_fract_x
_atom_site_fract_y
_atom_site_fract_z
_atom_site_occupancy
Sr1 Sr 0.000 0.000 0.000 1
Re1 Re 0.000 0.000 0.500 1
Tc1 Tc 0.500 0.500 0.000 1
As1 As 0.000 0.500 0.500 1
```

Uncorrected energy (eV per cell): -30.5
Size of the total moment (μB/f.u.): 3.501
ΔH_f (0 K) (eV/atom): 1.237